#P
29
Lattice="-5.049 5.049 5.049 5.049 -5.049 5.049 5.049 5.049 -5.049" Properties=species:S:1:pos:R:3 comment="PBE Ta16W13, relaxed" space_group="I-43m (217)" pbc="T T T"
Ta 1.405 1.405 4.643
Ta -1.405 5.455 1.405
W 0.933 2.799 -0.933
W 2.799 0.933 -0.933
Ta 1.405 4.643 1.405
Ta 3.215 -3.215 3.215
Ta 4.643 1.405 1.405
W 4.116 2.250 4.116
Ta 3.644 -0.406 3.644
Ta -1.405 1.405 5.455
W 0.000 0.000 0.000
Ta -3.215 3.215 3.215
W 2.250 4.116 4.116
W 0.933 -0.933 2.799
W -0.933 0.933 2.799
Ta 1.834 1.834 1.834
Ta 3.644 3.644 -0.406
W 2.799 -0.933 0.933
Ta 1.405 5.455 -1.405
W 4.116 4.116 2.250
W 0.933 7.299 0.933
W -0.933 2.799 0.933
W 0.933 0.933 7.299
W 7.299 0.933 0.933
Ta 5.455 -1.405 1.405
Ta 3.215 3.215 -3.215
Ta 1.405 -1.405 5.455
Ta 5.455 1.405 -1.405
Ta -0.406 3.644 3.644

#Q
29
Lattice="6.239 -5.697 2.179 -1.238 5.610 6.567 -7.427 -4.291 -1.599" Properties=species:S:1:pos:R:3 comment="PBE Ta16W13, relaxed" space_group="I-43m (217)" pbc="T T T"
Ta -5.825 0.000 4.415
Ta 2.646 -0.872 6.758
W -3.817 2.095 3.823
Ta -2.939 -3.543 4.121
W -3.752 -3.121 1.648
W -5.545 -0.670 1.543
Ta -1.743 -1.630 5.699
W -2.550 -5.199 -0.214
Ta 2.132 -1.082 2.097
Ta 0.734 1.032 2.917
W 3.745 -1.625 4.112
Ta -1.618 -2.731 -0.187
W 1.722 -3.684 3.162
W 1.266 -5.591 0.841
W -1.273 0.845 4.919
W -1.058 -4.421 2.181
Ta -0.299 -3.814 4.851
W 0.000 0.000 0.000
W 1.657 1.532 5.337
Ta -3.062 -0.547 0.661
Ta 0.937 -2.994 0.519
Ta -1.905 1.304 2.187
Ta -0.774 3.505 4.102
Ta -1.190 -7.010 1.696
Ta 3.897 -3.559 1.361
Ta -0.911 -1.643 2.682
Ta -4.640 -2.680 -0.999
W -3.453 -0.800 3.586
W 0.924 -1.250 4.796

Most stable structure: #P

#P
24
Lattice="-4.884 1.910 -0.233 0.782 -5.185 0.246 -0.533 0.738 17.247" Properties=species:S:1:pos:R:3 comment="PBE TaW5, relaxed" space_group="P6_3/mmc (194)" pbc="T T T"
W 0.391 -2.592 0.123
W 0.124 -2.223 8.747
W -0.053 0.073 1.712
W -0.214 0.296 6.912
W -1.861 0.332 12.900
Ta -1.173 -2.729 2.214
Ta -1.308 -2.542 6.582
W -3.962 -1.346 12.907
Ta -3.463 0.192 15.046
W -2.051 -1.637 0.007
W -2.709 1.324 8.507
W -0.273 -3.846 4.480
W -1.458 -2.334 11.434
W -3.178 -0.203 5.827
W -4.363 1.310 12.781
W -2.318 -1.268 8.630
W -1.556 -2.198 14.610
W -0.481 0.665 15.536
W -2.442 0.955 -0.116
W -0.320 0.442 10.335
W -0.673 -1.191 4.354
W -2.774 -2.868 4.361
W -3.079 -0.339 2.650
Ta -3.328 0.005 10.678

#Q
24
Lattice="5.256 0.000 0.000 -2.628 4.552 0.000 0.000 0.000 17.236" Properties=species:S:1:pos:R:3 comment="PBE TaW5, relaxed" space_group="P6_3/mmc (194)" pbc="T T T"
W 0.000 0.000 15.485
W 0.000 3.035 2.139
W -1.314 2.276 0.000
Ta 2.628 1.517 2.639
Ta 0.000 3.035 14.596
W -1.342 3.809 4.309
W 0.000 0.000 10.368
W 0.000 0.000 1.750
Ta 0.000 3.035 11.257
W 2.628 1.517 10.757
W 0.000 0.000 6.867
W 1.342 3.809 4.309
W 1.314 2.276 0.000
W 2.628 3.066 12.927
W 0.000 3.035 6.479
W 1.287 0.743 12.927
W 2.628 0.000 8.618
W -1.314 2.276 8.618
W 2.628 1.517 15.096
W 3.970 0.743 12.927
Ta 2.628 1.517 5.978
W 0.000 1.486 4.309
W 1.314 2.276 8.618
W 2.628 0.000 0.000

Most stable structure: #Q